# RbCd2BiAu4

A relaxed RbCd2BiAu4 crystal (GGA-PBE, Alexandria).

Cell lengths 5.2948, 5.2948, 9.0895 Å; angles 73.07, 73.07, 60.00 degrees
Atoms (fractional coordinates):
Cd: 0.2715 0.2715 0.1854
Au: 0.3864 0.3864 0.8408
Cd: 0.7285 0.7285 0.8146
Au: 0.8370 0.8370 0.4890
Rb: 0.0000 0.0000 0.0000
Au: 0.6136 0.6136 0.1592
Au: 0.1630 0.1630 0.5110
Bi: 0.5000 0.5000 0.5000

total magnetic moment: 0.000 μB per formula unit
DFT formation energy: -0.01 eV/atom
volume: 25.98 A^3/atom
E_tot: -2.4861 eV per atom


# RbCd2BiAu

A relaxed RbCd2BiAu crystal (GGA-PBE, Alexandria).

Cell lengths 5.3958, 5.3958, 5.8415 Å; angles 90.00, 90.00, 90.00 degrees
Atoms (fractional coordinates):
Cd: 0.5000 0.0000 0.0000
Au: 0.0000 0.0000 0.0000
Bi: 0.0000 0.0000 0.5000
Rb: 0.5000 0.5000 0.5000
Cd: 0.0000 0.5000 0.0000

total magnetic moment: 0.000 μB per formula unit
DFT formation energy: -0.03 eV/atom
volume: 34.01 A^3/atom
E_tot: -2.0242 eV per atom


# ScCdBiAu

A relaxed ScCdBiAu crystal (GGA-PBE, Alexandria).

Cell lengths 5.0690, 5.0690, 5.0690 Å; angles 60.00, 60.00, 60.00 degrees
Atoms (fractional coordinates):
Sc: 0.7500 0.7500 0.7500
Au: 0.0000 0.0000 0.0000
Bi: 0.5000 0.5000 0.5000
Cd: 0.2500 0.2500 0.2500

total magnetic moment: 0.000 μB per formula unit
DFT formation energy: -0.25 eV/atom
volume: 23.02 A^3/atom
E_tot: -3.8469 eV per atom


# SmCdBiAu

A relaxed SmCdBiAu crystal (GGA-PBE, Alexandria).

Cell lengths 5.2633, 5.2633, 5.2633 Å; angles 60.00, 60.00, 60.00 degrees
Atoms (fractional coordinates):
Cd: 0.2500 0.2500 0.2500
Sm: 0.7500 0.7500 0.7500
Bi: 0.0000 0.0000 0.0000
Au: 0.5000 0.5000 0.5000

total magnetic moment: 0.000 μB per formula unit
DFT formation energy: -0.40 eV/atom
volume: 25.77 A^3/atom
E_tot: -3.5944 eV per atom


# CdSnBiAu

A relaxed CdSnBiAu crystal (GGA-PBE, Alexandria).

Cell lengths 5.2066, 5.2066, 5.2066 Å; angles 60.00, 60.00, 60.00 degrees
Atoms (fractional coordinates):
Au: 0.7500 0.7500 0.7500
Cd: 0.2500 0.2500 0.2500
Sn: 0.5000 0.5000 0.5000
Bi: 0.0000 0.0000 0.0000

total magnetic moment: 0.000 μB per formula unit
DFT formation energy: 0.07 eV/atom
volume: 24.95 A^3/atom
E_tot: -2.9500 eV per atom


# Sr2CdBi4Au3

A relaxed Sr2CdBi4Au3 crystal (GGA-PBE, Alexandria).

Cell lengths 4.9041, 4.9041, 12.3678 Å; angles 90.00, 90.00, 90.00 degrees
Atoms (fractional coordinates):
Bi: 0.5000 0.0000 0.6380
Au: 0.5000 0.0000 0.8617
Bi: 0.0000 0.0000 0.0000
Cd: 0.5000 0.5000 0.5000
Bi: 0.5000 0.5000 0.0000
Sr: 0.5000 0.0000 0.2467
Bi: 0.0000 0.5000 0.3620
Au: 0.0000 0.5000 0.1383
Sr: 0.0000 0.5000 0.7533
Au: 0.0000 0.0000 0.5000

total magnetic moment: 0.000 μB per formula unit
DFT formation energy: -0.40 eV/atom
volume: 29.74 A^3/atom
E_tot: -3.3637 eV per atom


# SrCdBiAu

A relaxed SrCdBiAu crystal (GGA-PBE, Alexandria).

Cell lengths 5.3687, 5.3687, 5.3687 Å; angles 60.00, 60.00, 60.00 degrees
Atoms (fractional coordinates):
Sr: 0.2500 0.2500 0.2500
Au: 0.5000 0.5000 0.5000
Cd: 0.0000 0.0000 0.0000
Bi: 0.7500 0.7500 0.7500

total magnetic moment: 0.000 μB per formula unit
DFT formation energy: -0.40 eV/atom
volume: 27.35 A^3/atom
E_tot: -2.8425 eV per atom


# Sr2CdBiAu6

A relaxed Sr2CdBiAu6 crystal (GGA-PBE, Alexandria).

Cell lengths 7.5384, 7.5384, 7.5385 Å; angles 60.00, 60.00, 90.00 degrees
Atoms (fractional coordinates):
Sr: 0.7500 0.2500 0.5000
Au: 0.2551 0.2551 0.4897
Au: 0.2551 0.2551 0.0000
Au: 0.7449 0.7449 0.5103
Sr: 0.2500 0.7500 0.5000
Bi: 0.0000 0.0000 0.0000
Au: 0.2551 0.7449 0.0000
Au: 0.7449 0.2551 0.0000
Au: 0.7449 0.7449 0.0000
Cd: 0.5000 0.5000 0.0000

total magnetic moment: 0.000 μB per formula unit
DFT formation energy: -0.13 eV/atom
volume: 30.29 A^3/atom
E_tot: -2.9155 eV per atom


Number 1: mass density 10444 kg/m³. Number 2: mass density 6993 kg/m³. Number 3: mass density 10157 kg/m³. Number 4: mass density 10771 kg/m³. Number 5: mass density 10600 kg/m³. Number 6: mass density 9571 kg/m³. Number 7: mass density 9196 kg/m³. Number 8: mass density 9201 kg/m³.